# CaNd8Tm5 GGA-PBE relaxed
# Final energy, eV/atom: -4.225
# Mass density, Mg/m³: 6.9
# Formation energy from the elements, eV per atom: 0.240
data_CaNd8Tm5
_chemical_formula_sum 'Ca2 Nd16 Tm10'
_cell_length_a 9.740
_cell_length_b 9.740
_cell_length_c 10.367
_cell_angle_alpha 90.00
_cell_angle_beta 90.00
_cell_angle_gamma 90.00
_space_group_name_H-M_alt 'I -4'
_space_group_IT_number 82
loop_
_space_group_symop_operation_xyz
'x,y,z'
'y,-x,-z'
'-x,-y,z'
'-y,x,-z'
'x+1/2,y+1/2,z+1/2'
'y+1/2,-x+1/2,-z+1/2'
'-x+1/2,-y+1/2,z+1/2'
'-y+1/2,x+1/2,-z+1/2'
loop_
_atom_site_label
_atom_site_type_symbol
_atom_site_fract_x
_atom_site_fract_y
_atom_site_fract_z
Ca1 Ca 0.000 0.000 0.000
Nd1 Nd 0.070 0.174 0.348
Nd2 Nd 0.094 0.329 0.002
Tm1 Tm 0.000 0.500 0.250
Tm2 Tm 0.111 0.298 0.677